Density functional theory data (PBE) for YAlPb4 after structural relaxation.

space-group type = F-43m, No. 216
mass density = 8.461 g cm⁻³
energy relative to the elements = 0.187 eV/atom
uncorrected energy = -3.986 eV per atom

abc: 6.4003 6.4003 6.4003
angles: 60.00 60.00 60.00
Closest atoms and distances in Å follow each position.
Element x y z (fractional)
1 Y 0.0000 0.0000 0.0000  12 Pb 3.75, 4 Al 3.92
2 Al 0.7500 0.7500 0.7500  12 Pb 3.75, 4 Y 3.92
3 Pb 0.3745 0.3745 0.3745  6 Pb 3.19-3.21
4 Pb 0.3745 0.3745 0.8764  6 Pb 3.19-3.21
5 Pb 0.3745 0.8764 0.3745  6 Pb 3.19-3.21
6 Pb 0.8764 0.3745 0.3745  6 Pb 3.19-3.21

***

Density functional theory data (PBE) for YAlPb after structural relaxation.

space-group type = Fmm2, No. 42
mass density = 6.976 g cm⁻³
energy relative to the elements = -0.182 eV/atom
uncorrected energy = -4.820 eV per atom

abc: 4.6467 5.7073 11.6000
angles: 90.00 90.00 90.00
Closest atoms and distances in Å follow each position.
Element x y z (fractional)
1 Y 0.0000 0.0000 0.0000  2 Al 2.98, 2 Pb 3.22
2 Y 0.0000 0.5000 0.5000  2 Al 2.98, 2 Pb 3.22
3 Y 0.5000 0.0000 0.5000  2 Al 2.98, 2 Pb 3.22
4 Y 0.5000 0.5000 0.0000  2 Al 2.98, 2 Pb 3.22
5 Al 0.0000 0.0000 0.6614  2 Pb 2.88, 2 Y 2.98
6 Al 0.0000 0.5000 0.1614  2 Pb 2.88, 2 Y 2.98
7 Al 0.5000 0.0000 0.1614  2 Pb 2.88, 2 Y 2.98
8 Al 0.5000 0.5000 0.6614  2 Pb 2.88, 2 Y 2.98
9 Pb 0.0000 0.0000 0.3081  2 Al 2.88, 2 Y 3.22
10 Pb 0.0000 0.5000 0.8081  2 Al 2.88, 2 Y 3.22
11 Pb 0.5000 0.0000 0.8081  2 Al 2.88, 2 Y 3.22
12 Pb 0.5000 0.5000 0.3081  2 Al 2.88, 2 Y 3.22

***

Density functional theory data (PBE) for Y2AlPb2 after structural relaxation.

space-group type = P4/mbm, No. 127
mass density = 7.147 g cm⁻³
energy relative to the elements = -0.229 eV/atom
uncorrected energy = -5.046 eV per atom

abc: 7.8898 7.8898 4.6222
angles: 90.00 90.00 90.00
Closest atoms and distances in Å follow each position.
Element x y z (fractional)
1 Y 0.1645 0.3355 0.0000  2 Al 2.95, 2 Pb 3.14
2 Y 0.3355 0.8355 0.0000  2 Al 2.95, 2 Pb 3.14
3 Y 0.6645 0.1645 0.0000  2 Al 2.95, 2 Pb 3.14
4 Y 0.8355 0.6645 0.0000  2 Al 2.95, 2 Pb 3.14
5 Al 0.0000 0.0000 0.0000  4 Y 2.95
6 Al 0.5000 0.5000 0.0000  4 Y 2.95
7 Pb 0.1452 0.6452 0.5000  6 Y 3.14-3.37, 1 Pb 3.24
8 Pb 0.3548 0.1452 0.5000  6 Y 3.14-3.37, 1 Pb 3.24
9 Pb 0.6452 0.8548 0.5000  6 Y 3.14-3.37, 1 Pb 3.24
10 Pb 0.8548 0.3548 0.5000  6 Y 3.14-3.37, 1 Pb 3.24

***

Density functional theory data (PBE) for Y2AlPb after structural relaxation.

space-group type = C2/m, No. 12
mass density = 6.555 g cm⁻³
energy relative to the elements = -0.384 eV/atom
uncorrected energy = -5.479 eV per atom

abc: 6.9346 8.6756 3.4699
angles: 90.00 90.37 90.00
Closest atoms and distances in Å follow each position.
Element x y z (fractional)
1 Y 0.2500 0.2500 0.0000  4 Al 3.27-3.28, 4 Pb 3.27-3.28, 4 Y 3.47
2 Y 0.2500 0.7500 0.0000  4 Pb 3.27-3.28, 4 Al 3.27-3.28, 4 Y 3.47
3 Y 0.7500 0.2500 0.0000  4 Pb 3.27-3.28, 4 Al 3.27-3.28, 4 Y 3.47
4 Y 0.7500 0.7500 0.0000  4 Al 3.27-3.28, 4 Pb 3.27-3.28, 4 Y 3.47
5 Al 0.0000 0.0000 0.5000  8 Y 3.27-3.28, 2 Pb 3.47, 2 Al 3.47
6 Al 0.5000 0.5000 0.5000  8 Y 3.27-3.28, 2 Pb 3.47, 2 Al 3.47
7 Pb 0.0000 0.5000 0.5000  8 Y 3.27-3.28, 2 Al 3.47, 2 Pb 3.47
8 Pb 0.5000 0.0000 0.5000  8 Y 3.27-3.28, 2 Al 3.47, 2 Pb 3.47

***

Density functional theory data (PBE) for YAlPb2 after structural relaxation.

space-group type = P4/mmm, No. 123
mass density = 8.433 g cm⁻³
energy relative to the elements = -0.224 eV/atom
uncorrected energy = -4.629 eV per atom

abc: 4.7774 4.7774 4.5752
angles: 90.00 90.00 90.00
Closest atoms and distances in Å follow each position.
Element x y z (fractional)
1 Y 0.0000 0.0000 0.0000  8 Pb 3.31, 4 Al 3.38
2 Al 0.5000 0.5000 0.0000  8 Pb 3.31, 4 Y 3.38
3 Pb 0.0000 0.5000 0.5000  4 Al 3.31, 4 Y 3.31, 4 Pb 3.38
4 Pb 0.5000 0.0000 0.5000  4 Al 3.31, 4 Y 3.31, 4 Pb 3.38

***

Density functional theory data (PBE) for YAl2Pb after structural relaxation.

space-group type = I-42d, No. 122
mass density = 5.729 g cm⁻³
energy relative to the elements = 0.033 eV/atom
uncorrected energy = -4.382 eV per atom

abc: 8.1413 8.1413 6.1235
angles: 90.00 90.00 90.00
Closest atoms and distances in Å follow each position.
Element x y z (fractional)
1 Y 0.0000 0.0000 0.0000  2 Pb 3.06, 4 Al 3.12
2 Y 0.0000 0.5000 0.2500  2 Pb 3.06, 4 Al 3.12
3 Y 0.5000 0.0000 0.7500  2 Pb 3.06, 4 Al 3.12
4 Y 0.5000 0.5000 0.5000  2 Pb 3.06, 4 Al 3.12
5 Al 0.2245 0.7500 0.6250  2 Pb 2.84, 2 Al 3.09, 2 Y 3.12
6 Al 0.2500 0.2245 0.3750  2 Pb 2.84, 2 Al 3.09, 2 Y 3.12
7 Al 0.2500 0.2755 0.8750  2 Pb 2.84, 2 Al 3.09, 2 Y 3.12
8 Al 0.2755 0.7500 0.1250  2 Pb 2.84, 2 Al 3.09, 2 Y 3.12
9 Al 0.7245 0.2500 0.1250  2 Pb 2.84, 2 Al 3.09, 2 Y 3.12
10 Al 0.7500 0.7245 0.8750  2 Pb 2.84, 2 Al 3.09, 2 Y 3.12
11 Al 0.7500 0.7755 0.3750  2 Pb 2.84, 2 Al 3.09, 2 Y 3.12
12 Al 0.7755 0.2500 0.6250  2 Pb 2.84, 2 Al 3.09, 2 Y 3.12
13 Pb 0.0000 0.0000 0.5000  4 Al 2.84, 2 Y 3.06
14 Pb 0.0000 0.5000 0.7500  4 Al 2.84, 2 Y 3.06
15 Pb 0.5000 0.0000 0.2500  4 Al 2.84, 2 Y 3.06
16 Pb 0.5000 0.5000 0.0000  4 Al 2.84, 2 Y 3.06

***

Density functional theory data (PBE) for YAl2Pb after structural relaxation.

space-group type = R3m, No. 160
mass density = 5.804 g cm⁻³
energy relative to the elements = 0.035 eV/atom
uncorrected energy = -4.379 eV per atom

abc: 3.5735 3.5735 27.1683
angles: 90.00 90.00 120.00
Closest atoms and distances in Å follow each position.
Element x y z (fractional)
1 Y 0.0000 0.0000 0.0000  3 Al 3.13, 3 Pb 3.37
2 Y 0.3333 0.6667 0.6667  3 Al 3.13, 3 Pb 3.37
3 Y 0.6667 0.3333 0.3333  3 Al 3.13, 3 Pb 3.37
4 Al 0.0000 0.0000 0.4865  3 Al 2.74, 3 Pb 3.04
5 Al 0.0000 0.0000 0.7534  3 Al 2.74
6 Al 0.3333 0.6667 0.1532  3 Al 2.74, 3 Pb 3.04
7 Al 0.3333 0.6667 0.4200  3 Al 2.74
8 Al 0.6667 0.3333 0.0867  3 Al 2.74
9 Al 0.6667 0.3333 0.8198  3 Al 2.74, 3 Pb 3.04
10 Pb 0.0000 0.0000 0.2353  3 Al 3.04, 3 Y 3.37
11 Pb 0.3333 0.6667 0.9019  3 Al 3.04, 3 Y 3.37
12 Pb 0.6667 0.3333 0.5686  3 Al 3.04, 3 Y 3.37

***

Density functional theory data (PBE) for YAl2Pb2 after structural relaxation.

space-group type = P4/mbm, No. 127
mass density = 7.353 g cm⁻³
energy relative to the elements = -0.049 eV/atom
uncorrected energy = -4.323 eV per atom

abc: 7.8910 7.8910 4.0420
angles: 90.00 90.00 90.00
Closest atoms and distances in Å follow each position.
Element x y z (fractional)
1 Y 0.0000 0.0000 0.0000  4 Al 3.15
2 Y 0.5000 0.5000 0.0000  4 Al 3.15
3 Al 0.1194 0.3806 0.0000  1 Al 2.67
4 Al 0.3806 0.8806 0.0000  1 Al 2.67
5 Al 0.6194 0.1194 0.0000  1 Al 2.67
6 Al 0.8806 0.6194 0.0000  1 Al 2.67
7 Pb 0.1734 0.6734 0.5000  6 Al 3.07-3.10
8 Pb 0.3266 0.1734 0.5000  6 Al 3.07-3.10
9 Pb 0.6734 0.8266 0.5000  6 Al 3.07-3.10
10 Pb 0.8266 0.3266 0.5000  6 Al 3.07-3.10

***

Density functional theory data (PBE) for YAl2Pb after structural relaxation.

space-group type = P4/mmm, No. 123
mass density = 6.117 g cm⁻³
energy relative to the elements = -0.074 eV/atom
uncorrected energy = -4.489 eV per atom

abc: 3.7601 3.7601 6.7219
angles: 90.00 90.00 90.00
Closest atoms and distances in Å follow each position.
Element x y z (fractional)
1 Y 0.0000 0.0000 0.0000  8 Al 3.21, 2 Pb 3.36
2 Al 0.5000 0.5000 0.2687  4 Pb 3.08, 1 Al 3.11, 4 Y 3.21
3 Al 0.5000 0.5000 0.7313  4 Pb 3.08, 1 Al 3.11, 4 Y 3.21
4 Pb 0.0000 0.0000 0.5000  8 Al 3.08, 2 Y 3.36

***

Density functional theory data (PBE) for Y2AlPb after structural relaxation.

space-group type = P4/mmm, No. 123
mass density = 6.557 g cm⁻³
energy relative to the elements = -0.420 eV/atom
uncorrected energy = -5.515 eV per atom

abc: 3.4528 3.4528 8.7522
angles: 90.00 90.00 90.00
Closest atoms and distances in Å follow each position.
Element x y z (fractional)
1 Y 0.0000 0.0000 0.2293  4 Al 3.16, 4 Pb 3.40, 4 Y 3.45
2 Y 0.0000 0.0000 0.7707  4 Al 3.16, 4 Pb 3.40, 4 Y 3.45
3 Al 0.5000 0.5000 0.0000  8 Y 3.16, 4 Al 3.45
4 Pb 0.5000 0.5000 0.5000  8 Y 3.40, 4 Pb 3.45

***

Density functional theory data (PBE) for YAlPb2 after structural relaxation.

space-group type = Pmm2, No. 25
mass density = 8.141 g cm⁻³
energy relative to the elements = -0.122 eV/atom
uncorrected energy = -4.528 eV per atom

abc: 3.5715 4.6787 6.4730
angles: 90.00 90.00 90.00
Closest atoms and distances in Å follow each position.
Element x y z (fractional)
1 Y 0.0000 0.0000 0.0000  6 Pb 3.12-3.35, 4 Al 3.31
2 Al 0.5000 0.5000 0.2331  5 Pb 3.02-3.35, 4 Y 3.31
3 Pb 0.0000 0.0000 0.4818  2 Y 3.12-3.35, 4 Al 3.35, 4 Pb 3.47
4 Pb 0.5000 0.5000 0.7659  1 Al 3.02, 4 Y 3.31

***

Density functional theory data (PBE) for Y2AlPb after structural relaxation.

space-group type = Pmmm, No. 47
mass density = 6.588 g cm⁻³
energy relative to the elements = -0.408 eV/atom
uncorrected energy = -5.503 eV per atom

abc: 3.4478 4.3413 6.9377
angles: 90.00 90.00 90.00
Closest atoms and distances in Å follow each position.
Element x y z (fractional)
1 Y 0.0000 0.0000 0.2375  4 Al 3.22, 3 Y 3.30-3.45, 4 Pb 3.32
2 Y 0.0000 0.0000 0.7625  4 Al 3.22, 3 Y 3.30-3.45, 4 Pb 3.32
3 Al 0.5000 0.5000 0.0000  8 Y 3.22, 2 Al 3.45, 2 Pb 3.47
4 Pb 0.5000 0.5000 0.5000  8 Y 3.32, 2 Pb 3.45, 2 Al 3.47

***

Density functional theory data (PBE) for Y2Al2Pb after structural relaxation.

space-group type = I4/mmm, No. 139
mass density = 5.091 g cm⁻³
energy relative to the elements = 0.079 eV/atom
uncorrected energy = -4.745 eV per atom

abc: 4.8273 4.8273 12.2898
angles: 90.00 90.00 90.00
Closest atoms and distances in Å follow each position.
Element x y z (fractional)
1 Y 0.0000 0.5000 0.2500  4 Al 3.03
2 Y 0.0000 0.5000 0.7500  4 Al 3.03
3 Y 0.5000 0.0000 0.2500  4 Al 3.03
4 Y 0.5000 0.0000 0.7500  4 Al 3.03
5 Al 0.0000 0.0000 0.1005  1 Al 2.47
6 Al 0.0000 0.0000 0.8995  1 Al 2.47
7 Al 0.5000 0.5000 0.3995  1 Al 2.47
8 Al 0.5000 0.5000 0.6005  1 Al 2.47
9 Pb 0.0000 0.0000 0.5000  8 Al 3.63, 8 Y 3.91
10 Pb 0.5000 0.5000 0.0000  8 Al 3.63, 8 Y 3.91